The following is a PBE-GGA calculation of a relaxed structure of NpH8Rh4, from Alexandria via LeMat-Bulk.

Properties
E in Ha/atom: -0.1970
Mass density in Mg/m³: 8.43
Space-group type: C2/m, No. 12
Density of states at the Fermi level in states/eV/atom: 1.012

abc: 5.386 5.386 6.568
angles: 123.99 123.99 65.13
Fractional positions:
Np: 0.000 0.000 0.000
H: 0.083 0.589 0.343
H: 0.159 0.159 0.448
H: 0.411 0.917 0.657
H: 0.421 0.421 0.155
H: 0.579 0.579 0.845
H: 0.589 0.083 0.343
H: 0.841 0.841 0.552
H: 0.917 0.411 0.657
Rh: 0.000 0.000 0.500
Rh: 0.000 0.500 0.000
Rh: 0.500 0.000 0.000
Rh: 0.500 0.500 0.500